VASP calculation (PBE) on crystalline Rb12ClO3F4 at its relaxed geometry.

Unit cell a=9.2187 b=9.2187 c=9.2187 alpha=109.47 beta=109.47 gamma=109.47
Closest atoms and distances in Å follow each position.
Positions (direct):
1 F 0.0000 0.0000 0.5000  6 Rb 2.87
2 F 0.5000 0.0000 0.0000  6 Rb 2.87
3 F 0.5000 0.5000 0.5000  6 Rb 2.87
4 O 0.5000 0.5000 0.0000  4 Rb 2.69
5 Rb 0.6803 0.1774 0.8577  1 O 2.69, 2 F 2.87
6 Rb 0.6803 0.8226 0.5029  1 O 2.69, 2 F 2.87
7 Rb 0.5029 0.6803 0.8226  1 O 2.69, 2 F 2.87
8 Rb 0.1774 0.8577 0.6803  1 O 2.69, 2 F 2.87
9 Rb 0.4971 0.3197 0.1774  1 O 2.69, 2 F 2.87
10 Rb 0.1774 0.4971 0.3197  1 O 2.69, 2 F 2.87
11 Rb 0.3197 0.1774 0.4971  1 O 2.69, 2 F 2.87
12 Rb 0.8226 0.1423 0.3197  1 O 2.69, 2 F 2.87
13 Rb 0.8226 0.5029 0.6803  1 O 2.69, 2 F 2.87
14 Rb 0.3197 0.8226 0.1423  1 O 2.69, 2 F 2.87
15 Cl 0.0000 0.0000 0.0000  12 Rb 3.89
16 Rb 0.1423 0.3197 0.8226  1 O 2.69, 2 F 2.87
17 F 0.0000 0.5000 0.0000  6 Rb 2.87
18 O 0.0000 0.5000 0.5000  4 Rb 2.69
19 Rb 0.8577 0.6803 0.1774  1 O 2.69, 2 F 2.87
20 O 0.5000 0.0000 0.5000  4 Rb 2.69

Its uncorrected formation energy is -154.35 kJ per mole of atoms. The final energy comes out at -3.391 eV per atom. For the density of states at the Fermi level, the calculation gives 2.629 states/eV per cell.



VASP calculation (PBE) on crystalline LaRe3Ag at its relaxed geometry.

Unit cell a=4.8656 b=4.8656 c=4.8656 alpha=90.00 beta=90.00 gamma=90.00
Closest atoms and distances in Å follow each position.
Positions (direct):
1 La 0.5000 0.5000 0.5000  12 Re 3.44
2 Re 0.0000 0.5000 0.0000  2 Ag 2.43
3 Re 0.0000 0.0000 0.5000  2 Ag 2.43
4 Ag 0.0000 0.0000 0.0000  6 Re 2.43
5 Re 0.5000 0.0000 0.0000  2 Ag 2.43

The calculation puts the energy above the lowest structure with this stoichiometry at 0 meV per atom. The final energy comes out at -6.722 eV per atom. For the formation enthalpy at 0 K, the calculation gives 2.3029 eV/atom. For the density of states at the Fermi level, the calculation gives 10.656 states/eV per cell.



VASP calculation (PBE) on crystalline Pm5Pr4Tm3 at its relaxed geometry.

Unit cell a=5.9939 b=8.7429 c=9.8031 alpha=105.84 beta=72.20 gamma=69.95
Closest atoms and distances in Å follow each position.
Positions (direct):
1 Pm 0.2159 0.4556 0.1127  4 Tm 3.26-3.53, 3 Pr 3.47-3.60
2 Pm 0.3692 0.0575 0.2040  2 Tm 3.33-3.52, 2 Pm 3.51-3.71, 2 Pr 3.73
3 Tm 0.4804 0.3098 0.7295  3 Pm 3.14-3.33, 2 Pr 3.39-3.49
4 Pm 0.5000 0.5000 0.5000  4 Tm 3.00-3.14
5 Pr 0.8402 0.9409 0.3786  3 Tm 3.39-3.53, 3 Pr 3.63-3.70, 3 Pm 3.70-3.73
6 Pr 0.1403 0.7763 0.9431  2 Pr 3.37-3.70, 3 Pm 3.47-3.60, 1 Tm 3.49
7 Pr 0.8597 0.2237 0.0569  2 Pr 3.37-3.70, 3 Pm 3.47-3.60, 1 Tm 3.49
8 Tm 0.5196 0.6902 0.2705  3 Pm 3.14-3.33, 2 Pr 3.39-3.49
9 Pr 0.1598 0.0591 0.6214  3 Tm 3.39-3.53, 3 Pr 3.63-3.70, 3 Pm 3.70-3.73
10 Pm 0.6308 0.9425 0.7960  2 Tm 3.33-3.52, 2 Pm 3.51-3.71, 2 Pr 3.73
11 Pm 0.7841 0.5444 0.8873  4 Tm 3.26-3.53, 3 Pr 3.47-3.60
12 Tm 0.0000 0.5000 0.5000  2 Pm 3.00

The final energy comes out at -4.481 eV per atom. For the formation enthalpy at 0 K, the calculation gives 0.2091 eV/atom. For the density of states at the Fermi level, the calculation gives 19.576 states/eV per cell.



VASP calculation (PBE) on crystalline Bi3O5 at its relaxed geometry.

Unit cell a=7.0082 b=6.7520 c=8.1734 alpha=70.18 beta=71.34 gamma=49.61
Closest atoms and distances in Å follow each position.
Positions (direct):
1 Bi 0.6772 0.6815 0.1453  4 O 2.29-2.43
2 O 0.0714 0.6275 0.5232  3 Bi 2.17-2.42
3 Bi 0.7023 0.6974 0.6627  4 O 2.18-2.42
4 Bi 0.3228 0.3185 0.8547  4 O 2.29-2.43
5 O 0.6335 0.0866 0.6370  3 Bi 2.20-2.31
6 O 0.9062 0.4339 0.8871  3 Bi 2.18-2.43
7 O 0.8504 0.1573 0.2628  2 Bi 2.11-2.35
8 Bi 0.2977 0.3026 0.3373  4 O 2.18-2.42
9 O 0.1496 0.8427 0.7372  2 Bi 2.11-2.35
10 Bi 0.0000 0.0000 0.0000  6 O 2.35-2.43
11 O 0.6035 0.0829 0.0528  3 Bi 2.29-2.37
12 O 0.3965 0.9171 0.9472  3 Bi 2.29-2.37
13 O 0.0938 0.5661 0.1129  3 Bi 2.18-2.43
14 O 0.9286 0.3725 0.4768  3 Bi 2.17-2.42
15 O 0.3665 0.9134 0.3630  3 Bi 2.20-2.31
16 Bi 0.0000 0.0000 0.5000  6 O 2.11-2.20

Its uncorrected formation energy is -107.42 kJ per mole of atoms. The calculation puts the energy above the lowest structure with this stoichiometry at 0 meV per atom. The final energy comes out at -5.668 eV per atom.



VASP calculation (PBE) on crystalline HgMoBr2 at its relaxed geometry.

Unit cell a=3.2356 b=3.2360 c=9.9085 alpha=90.00 beta=90.00 gamma=90.00
Closest atoms and distances in Å follow each position.
Positions (direct):
1 Hg 0.5000 0.5000 0.2500  4 Hg 3.24
2 Br 0.0000 0.0000 0.9106  4 Mo 2.79
3 Br 0.0000 0.0000 0.5894  4 Mo 2.79
4 Mo 0.5000 0.5000 0.7500  8 Br 2.79

Its uncorrected formation energy is 20.30 kJ per mole of atoms. The calculation puts the energy above the lowest structure with this stoichiometry at 246 meV per atom. The final energy comes out at -3.409 eV per atom. For the density of states at the Fermi level, the calculation gives 2.592 states/eV per cell.



VASP calculation (PBE) on crystalline NpPaTe2Se at its relaxed geometry.

Unit cell a=4.3828 b=4.3828 c=14.7538 alpha=90.00 beta=90.00 gamma=90.00
Closest atoms and distances in Å follow each position.
Positions (direct):
1 Np 0.5000 0.0000 0.0853  6 Te 3.15-3.16
2 Pa 0.0000 0.5000 0.3692  4 Se 2.92, 4 Te 3.27
3 Pa 0.5000 0.0000 0.6308  4 Se 2.92, 4 Te 3.27
4 Se 0.0000 0.0000 0.5000  4 Pa 2.92, 4 Se 3.10
5 Te 0.0000 0.5000 0.1282  5 Np 3.15-3.16
6 Te 0.5000 0.0000 0.2988  1 Np 3.15, 4 Pa 3.27
7 Se 0.5000 0.5000 0.5000  4 Pa 2.92, 4 Se 3.10
8 Te 0.5000 0.0000 0.8718  5 Np 3.15-3.16
9 Te 0.0000 0.5000 0.7012  1 Np 3.15, 4 Pa 3.27
10 Np 0.0000 0.5000 0.9147  6 Te 3.15-3.16

Its uncorrected formation energy is -77.91 kJ per mole of atoms. The final energy comes out at -7.248 eV per atom. For the density of states at the Fermi level, the calculation gives 29.529 states/eV per cell.



VASP calculation (PBE) on crystalline Y3HoTe at its relaxed geometry.

Unit cell a=7.7650 b=7.7650 c=7.4371 alpha=104.92 beta=119.55 gamma=106.33
Closest atoms and distances in Å follow each position.
Positions (direct):
1 Y 0.2088 0.4233 0.2555  2 Te 3.02-3.21, 1 Ho 3.30
2 Ho 0.7019 0.0675 0.7694  2 Te 3.03-3.18, 1 Ho 3.25, 2 Y 3.30
3 Te 0.6276 0.7415 0.3690  6 Y 3.00-3.24, 2 Ho 3.03-3.18
4 Y 0.1678 0.9533 0.7445  2 Te 3.02-3.21, 1 Ho 3.30
5 Y 0.7493 0.4413 0.1906  2 Te 3.00-3.24
6 Y 0.8322 0.0467 0.2555  2 Te 3.02-3.21, 1 Ho 3.30
7 Y 0.7912 0.5767 0.7445  2 Te 3.02-3.21, 1 Ho 3.30
8 Y 0.2507 0.5587 0.8094  2 Te 3.00-3.24
9 Te 0.3724 0.2585 0.6310  6 Y 3.00-3.24, 2 Ho 3.03-3.18
10 Ho 0.2981 0.9325 0.2306  2 Te 3.03-3.18, 1 Ho 3.25, 2 Y 3.30

Its uncorrected formation energy is -32.75 kJ per mole of atoms. The calculation puts the energy above the lowest structure with this stoichiometry at 27 meV per atom. The final energy comes out at -5.762 eV per atom. For the density of states at the Fermi level, the calculation gives 13.458 states/eV per cell.



VASP calculation (PBE) on crystalline TaBe3Se at its relaxed geometry.

Unit cell a=4.5507 b=4.5507 c=4.5507 alpha=90.00 beta=90.00 gamma=90.00
Closest atoms and distances in Å follow each position.
Positions (direct):
1 Be 0.0000 0.5000 0.0000  2 Ta 2.28
2 Ta 0.0000 0.0000 0.0000  6 Be 2.28
3 Be 0.0000 0.0000 0.5000  2 Ta 2.28
4 Be 0.5000 0.0000 0.0000  2 Ta 2.28
5 Se 0.5000 0.5000 0.5000  12 Be 3.22

Its uncorrected formation energy is 161.67 kJ per mole of atoms. The calculation puts the energy above the lowest structure with this stoichiometry at 488 meV per atom. The final energy comes out at -3.628 eV per atom. For the density of states at the Fermi level, the calculation gives 3.762 states/eV per cell.



VASP calculation (PBE) on crystalline Hg5Au3Br12 at its relaxed geometry.

Unit cell a=15.3576 b=15.3576 c=15.3576 alpha=109.47 beta=109.47 gamma=109.47
Closest atoms and distances in Å follow each position.
Positions (direct):
1 Hg 0.2500 0.8750 0.1250  4 Br 2.87
2 Br 0.4796 0.1320 0.1635  1 Au 2.71, 2 Hg 2.84-2.87
3 Br 0.5315 0.3680 0.3476  1 Au 2.71, 2 Hg 2.84-2.87
4 Hg 0.8750 0.2500 0.6250  4 Br 2.87
5 Br 0.3365 0.0204 0.8680  1 Au 2.71, 2 Hg 2.84-2.87
6 Au 0.1250 0.2500 0.8750  4 Br 2.71
7 Br 0.4796 0.3476 0.8161  1 Au 2.71, 2 Hg 2.84-2.87
8 Au 0.2500 0.1250 0.3750  4 Br 2.71
9 Br 0.8680 0.5204 0.3365  1 Au 2.71, 2 Hg 2.84-2.87
10 Br 0.6635 0.9796 0.1320  1 Au 2.71, 2 Hg 2.84-2.87
11 Br 0.1320 0.6524 0.9685  1 Au 2.71, 2 Hg 2.84-2.87
12 Hg 0.6250 0.8750 0.2500  4 Br 2.87
13 Au 0.8750 0.1250 0.2500  4 Br 2.71
14 Br 0.0315 0.8476 0.8680  1 Au 2.71, 2 Hg 2.84-2.87
15 Hg 0.3750 0.2500 0.1250  4 Br 2.87
16 Br 0.3476 0.4796 0.3161  1 Au 2.71, 2 Hg 2.84-2.87
17 Hg 0.6250 0.7500 0.8750  4 Br 2.87
18 Au 0.1250 0.8750 0.7500  4 Br 2.71
19 Br 0.3680 0.5315 0.8476  1 Au 2.71, 2 Hg 2.84-2.87
20 Au 0.3750 0.6250 0.2500  4 Br 2.71
21 Hg 0.0000 0.0000 0.0000  6 Br 2.84
22 Br 0.1839 0.0315 0.1635  1 Au 2.71, 2 Hg 2.84-2.87
23 Au 0.3750 0.7500 0.6250  4 Br 2.71
24 Br 0.3476 0.8680 0.5315  1 Au 2.71, 2 Hg 2.84-2.87
25 Br 0.1839 0.1524 0.5204  1 Au 2.71, 2 Hg 2.84-2.87
26 Hg 0.7500 0.6250 0.3750  4 Br 2.87
27 Br 0.9796 0.6635 0.6320  1 Au 2.71, 2 Hg 2.84-2.87
28 Hg 0.0000 0.0000 0.5000  6 Br 2.84
29 Br 0.9685 0.1524 0.1320  1 Au 2.71, 2 Hg 2.84-2.87
30 Br 0.8161 0.9685 0.8365  1 Au 2.71, 2 Hg 2.84-2.87
31 Br 0.8476 0.0315 0.3680  1 Au 2.71, 2 Hg 2.84-2.87
32 Au 0.6250 0.3750 0.7500  4 Br 2.71
33 Br 0.6320 0.1635 0.9796  1 Au 2.71, 2 Hg 2.84-2.87
34 Au 0.8750 0.7500 0.1250  4 Br 2.71
35 Au 0.6250 0.2500 0.3750  4 Br 2.71
36 Br 0.6524 0.5204 0.6839  1 Au 2.71, 2 Hg 2.84-2.87
37 Br 0.3161 0.9796 0.3476  1 Au 2.71, 2 Hg 2.84-2.87
38 Br 0.1524 0.9685 0.6320  1 Au 2.71, 2 Hg 2.84-2.87
39 Br 0.0204 0.6839 0.1524  1 Au 2.71, 2 Hg 2.84-2.87
40 Br 0.8365 0.3680 0.5204  1 Au 2.71, 2 Hg 2.84-2.87
41 Br 0.8161 0.8476 0.4796  1 Au 2.71, 2 Hg 2.84-2.87
42 Hg 0.8750 0.6250 0.7500  4 Br 2.87
43 Br 0.0315 0.1839 0.6635  1 Au 2.71, 2 Hg 2.84-2.87
44 Br 0.9685 0.8161 0.3365  1 Au 2.71, 2 Hg 2.84-2.87
45 Au 0.7500 0.3750 0.1250  4 Br 2.71
46 Br 0.6635 0.6839 0.0315  1 Au 2.71, 2 Hg 2.84-2.87
47 Au 0.7500 0.8750 0.6250  4 Br 2.71
48 Br 0.3680 0.8365 0.0204  1 Au 2.71, 2 Hg 2.84-2.87
49 Hg 0.1250 0.3750 0.2500  4 Br 2.87
50 Br 0.1635 0.5315 0.1839  1 Au 2.71, 2 Hg 2.84-2.87
51 Hg 0.7500 0.1250 0.8750  4 Br 2.87
52 Br 0.0204 0.3365 0.3680  1 Au 2.71, 2 Hg 2.84-2.87
53 Br 0.1524 0.1839 0.0204  1 Au 2.71, 2 Hg 2.84-2.87
54 Hg 0.5000 0.5000 0.5000  6 Br 2.84
55 Br 0.5204 0.8680 0.8365  1 Au 2.71, 2 Hg 2.84-2.87
56 Br 0.6839 0.0204 0.6524  1 Au 2.71, 2 Hg 2.84-2.87
57 Br 0.6320 0.4685 0.1524  1 Au 2.71, 2 Hg 2.84-2.87
58 Hg 0.5000 0.0000 0.0000  6 Br 2.84
59 Hg 0.3750 0.1250 0.7500  4 Br 2.87
60 Br 0.8680 0.3476 0.0315  1 Au 2.71, 2 Hg 2.84-2.87
61 Br 0.1320 0.4796 0.6635  1 Au 2.71, 2 Hg 2.84-2.87
62 Br 0.3365 0.3161 0.9685  1 Au 2.71, 2 Hg 2.84-2.87
63 Hg 0.5000 0.0000 0.5000  6 Br 2.84
64 Br 0.4685 0.8365 0.3161  1 Au 2.71, 2 Hg 2.84-2.87
65 Br 0.8476 0.8161 0.9796  1 Au 2.71, 2 Hg 2.84-2.87
66 Hg 0.0000 0.5000 0.0000  6 Br 2.84
67 Br 0.6839 0.6635 0.5315  1 Au 2.71, 2 Hg 2.84-2.87
68 Br 0.8365 0.4685 0.8161  1 Au 2.71, 2 Hg 2.84-2.87
69 Br 0.1635 0.6320 0.4796  1 Au 2.71, 2 Hg 2.84-2.87
70 Br 0.9796 0.3161 0.8476  1 Au 2.71, 2 Hg 2.84-2.87
71 Hg 0.1250 0.7500 0.3750  4 Br 2.87
72 Hg 0.2500 0.3750 0.6250  4 Br 2.87
73 Au 0.2500 0.6250 0.8750  4 Br 2.71
74 Hg 0.5000 0.5000 0.0000  6 Br 2.84
75 Br 0.5315 0.1635 0.6839  1 Au 2.71, 2 Hg 2.84-2.87
76 Hg 0.0000 0.5000 0.5000  6 Br 2.84
77 Br 0.6524 0.1320 0.4685  1 Au 2.71, 2 Hg 2.84-2.87
78 Br 0.3161 0.3365 0.4685  1 Au 2.71, 2 Hg 2.84-2.87
79 Br 0.5204 0.6524 0.1839  1 Au 2.71, 2 Hg 2.84-2.87
80 Br 0.4685 0.6320 0.6524  1 Au 2.71, 2 Hg 2.84-2.87

Its uncorrected formation energy is -14.14 kJ per mole of atoms. The final energy comes out at -1.717 eV per atom. For the density of states at the Fermi level, the calculation gives 11.248 states/eV per cell.



VASP calculation (PBE) on crystalline LiNdAl at its relaxed geometry.

Unit cell a=3.4462 b=3.4462 c=6.3086 alpha=105.85 beta=105.85 gamma=90.00
Closest atoms and distances in Å follow each position.
Positions (direct):
1 Nd 0.9419 0.9419 0.8838  4 Al 3.22, 5 Li 3.41-3.43, 4 Nd 3.45
2 Al 0.2608 0.2608 0.5216  4 Li 2.77
3 Li 0.6473 0.6473 0.2945  4 Al 2.77

The calculation puts the energy above the lowest structure with this stoichiometry at 136 meV per atom. The final energy comes out at -3.557 eV per atom. For the formation enthalpy at 0 K, the calculation gives -0.0823 eV/atom. For the density of states at the Fermi level, the calculation gives 3.372 states/eV per cell.



VASP calculation (PBE) on crystalline Ti2PAuBr at its relaxed geometry.

Unit cell a=4.8234 b=4.6751 c=4.8234 alpha=90.00 beta=90.00 gamma=90.00
Closest atoms and distances in Å follow each position.
Positions (direct):
1 P 0.0000 0.0000 0.0000  2 Au 2.34, 4 Ti 2.41
2 Ti 0.0000 0.0000 0.5000  2 P 2.41
3 Au 0.0000 0.5000 0.0000  2 P 2.34
4 Ti 0.5000 0.0000 0.0000  2 P 2.41
5 Br 0.5000 0.5000 0.5000  8 Ti 3.36, 4 Au 3.41

Its uncorrected formation energy is 3.94 kJ per mole of atoms. The final energy comes out at -5.189 eV per atom. For the density of states at the Fermi level, the calculation gives 6.538 states/eV per cell.



VASP calculation (PBE) on crystalline BaAs2SeN at its relaxed geometry.

Unit cell a=4.6078 b=4.6078 c=4.9563 alpha=90.00 beta=90.00 gamma=90.00
Closest atoms and distances in Å follow each position.
Positions (direct):
1 Se 0.0000 0.0000 0.5000  2 N 2.48
2 Ba 0.5000 0.5000 0.5000  4 Se 3.26, 8 As 3.38
3 As 0.0000 0.5000 0.0000  2 N 2.30
4 N 0.0000 0.0000 0.0000  4 As 2.30, 2 Se 2.48
5 As 0.5000 0.0000 0.0000  2 N 2.30

Its uncorrected formation energy is 19.86 kJ per mole of atoms. The calculation puts the energy above the lowest structure with this stoichiometry at 0 meV per atom. The final energy comes out at -4.400 eV per atom. For the density of states at the Fermi level, the calculation gives 3.063 states/eV per cell.



Copy entry 6 word for word.
VASP calculation (PBE) on crystalline NpPaTe2Se at its relaxed geometry.

Unit cell a=4.3828 b=4.3828 c=14.7538 alpha=90.00 beta=90.00 gamma=90.00
Closest atoms and distances in Å follow each position.
Positions (direct):
1 Np 0.5000 0.0000 0.0853  6 Te 3.15-3.16
2 Pa 0.0000 0.5000 0.3692  4 Se 2.92, 4 Te 3.27
3 Pa 0.5000 0.0000 0.6308  4 Se 2.92, 4 Te 3.27
4 Se 0.0000 0.0000 0.5000  4 Pa 2.92, 4 Se 3.10
5 Te 0.0000 0.5000 0.1282  5 Np 3.15-3.16
6 Te 0.5000 0.0000 0.2988  1 Np 3.15, 4 Pa 3.27
7 Se 0.5000 0.5000 0.5000  4 Pa 2.92, 4 Se 3.10
8 Te 0.5000 0.0000 0.8718  5 Np 3.15-3.16
9 Te 0.0000 0.5000 0.7012  1 Np 3.15, 4 Pa 3.27
10 Np 0.0000 0.5000 0.9147  6 Te 3.15-3.16

Its uncorrected formation energy is -77.91 kJ per mole of atoms. The final energy comes out at -7.248 eV per atom. For the density of states at the Fermi level, the calculation gives 29.529 states/eV per cell.